! YEr2Mg3 (GGA-PBE, optimized geometry); values from VASP
&SYSTEM
  ibrav = 0, nat = 6, ntyp = 3
/
ATOMIC_SPECIES
Y 88.91 Y.upf
Er 167.26 Er.upf
Mg 24.30 Mg.upf
CELL_PARAMETERS angstrom
3.783 0.000 0.000
0.000 3.783 0.000
0.000 0.000 11.292
ATOMIC_POSITIONS crystal
Y 0.000 0.000 0.000
Er 0.000 0.000 0.335
Er 0.000 0.000 0.665
Mg 0.500 0.500 0.169
Mg 0.500 0.500 0.500
Mg 0.500 0.500 0.831
! - Space group: P4/mmm, No. 123


! Y4ErMg (GGA-PBE, optimized geometry); values from VASP
&SYSTEM
  ibrav = 0, nat = 6, ntyp = 3
/
ATOMIC_SPECIES
Y 88.91 Y.upf
Er 167.26 Er.upf
Mg 24.30 Mg.upf
CELL_PARAMETERS angstrom
3.585 0.000 0.000
0.000 3.585 0.000
0.000 0.000 14.288
ATOMIC_POSITIONS crystal
Y 0.000 0.000 0.152
Y 0.000 0.000 0.848
Y 0.500 0.500 0.327
Y 0.500 0.500 0.673
Er 0.000 0.000 0.500
Mg 0.500 0.500 0.000
! - Space group: P4/mmm, No. 123


! Y2Er2Mg7 (GGA-PBE, optimized geometry); values from VASP
&SYSTEM
  ibrav = 0, nat = 11, ntyp = 3
/
ATOMIC_SPECIES
Y 88.91 Y.upf
Er 167.26 Er.upf
Mg 24.30 Mg.upf
CELL_PARAMETERS angstrom
-2.610 7.419 3.834
2.610 -7.419 3.834
2.610 7.419 -3.834
ATOMIC_POSITIONS crystal
Y 0.216 0.000 0.216
Y 0.784 0.000 0.784
Er 0.522 0.022 0.500
Er 0.835 0.835 0.000
Mg 0.065 0.681 0.384
Mg 0.251 0.251 0.000
Mg 0.297 0.681 0.616
Mg 0.370 0.524 0.846
Mg 0.663 0.307 0.356
Mg 0.679 0.524 0.154
Mg 0.951 0.307 0.644
! - Space group: Imm2, No. 44


! YEr2Mg (GGA-PBE, optimized geometry); values from VASP
&SYSTEM
  ibrav = 0, nat = 16, ntyp = 3
/
ATOMIC_SPECIES
Y 88.91 Y.upf
Er 167.26 Er.upf
Mg 24.30 Mg.upf
CELL_PARAMETERS angstrom
7.750 0.000 0.000
0.000 7.750 0.000
0.000 0.000 7.750
ATOMIC_POSITIONS crystal
Y 0.000 0.000 0.000
Y 0.000 0.500 0.500
Y 0.500 0.000 0.500
Y 0.500 0.500 0.000
Er 0.250 0.250 0.250
Er 0.250 0.250 0.750
Er 0.250 0.750 0.250
Er 0.250 0.750 0.750
Er 0.750 0.250 0.250
Er 0.750 0.250 0.750
Er 0.750 0.750 0.250
Er 0.750 0.750 0.750
Mg 0.000 0.000 0.500
Mg 0.000 0.500 0.000
Mg 0.500 0.000 0.000
Mg 0.500 0.500 0.500
! - Space group: Fm-3m, No. 225


! YEr3Mg12 (GGA-PBE, optimized geometry); values from VASP
&SYSTEM
  ibrav = 0, nat = 16, ntyp = 3
/
ATOMIC_SPECIES
Y 88.91 Y.upf
Er 167.26 Er.upf
Mg 24.30 Mg.upf
CELL_PARAMETERS angstrom
4.612 0.000 0.000
0.000 4.612 0.000
0.000 0.000 18.921
ATOMIC_POSITIONS crystal
Y 0.000 0.000 0.000
Er 0.000 0.000 0.251
Er 0.000 0.000 0.500
Er 0.000 0.000 0.749
Mg 0.000 0.500 0.126
Mg 0.000 0.500 0.375
Mg 0.000 0.500 0.625
Mg 0.000 0.500 0.874
Mg 0.500 0.000 0.126
Mg 0.500 0.000 0.375
Mg 0.500 0.000 0.625
Mg 0.500 0.000 0.874
Mg 0.500 0.500 0.000
Mg 0.500 0.500 0.251
Mg 0.500 0.500 0.500
Mg 0.500 0.500 0.749
! - Space group: P4/mmm, No. 123


! YErMg (GGA-PBE, optimized geometry); values from VASP
&SYSTEM
  ibrav = 0, nat = 6, ntyp = 3
/
ATOMIC_SPECIES
Y 88.91 Y.upf
Er 167.26 Er.upf
Mg 24.30 Mg.upf
CELL_PARAMETERS angstrom
3.453 0.000 0.000
0.002 5.373 0.000
0.014 0.003 9.410
ATOMIC_POSITIONS crystal
Y 0.000 0.000 0.000
Y 0.001 0.500 0.493
Er 0.498 0.500 0.831
Er 0.501 0.000 0.661
Mg 0.504 0.001 0.326
Mg 0.504 0.501 0.166
! - Space group: P1, No. 1


! Y12Er7Mg (GGA-PBE, optimized geometry); values from VASP
&SYSTEM
  ibrav = 0, nat = 20, ntyp = 3
/
ATOMIC_SPECIES
Y 88.91 Y.upf
Er 167.26 Er.upf
Mg 24.30 Mg.upf
CELL_PARAMETERS angstrom
7.410 4.278 3.353
-7.410 4.278 3.353
0.000 -8.556 3.353
ATOMIC_POSITIONS crystal
Y 0.073 0.805 0.286
Y 0.128 0.212 0.428
Y 0.195 0.714 0.927
Y 0.212 0.428 0.128
Y 0.286 0.073 0.805
Y 0.428 0.128 0.212
Y 0.572 0.872 0.788
Y 0.714 0.927 0.195
Y 0.788 0.572 0.872
Y 0.805 0.286 0.073
Y 0.872 0.788 0.572
Y 0.927 0.195 0.714
Er 0.000 0.000 0.000
Er 0.180 0.621 0.516
Er 0.379 0.484 0.820
Er 0.484 0.820 0.379
Er 0.516 0.180 0.621
Er 0.621 0.516 0.180
Er 0.820 0.379 0.484
Mg 0.500 0.500 0.500
! - Space group: R-3, No. 148


! YEr3Mg7 (GGA-PBE, optimized geometry); values from VASP
&SYSTEM
  ibrav = 0, nat = 11, ntyp = 3
/
ATOMIC_SPECIES
Y 88.91 Y.upf
Er 167.26 Er.upf
Mg 24.30 Mg.upf
CELL_PARAMETERS angstrom
5.359 -5.055 0.000
5.359 5.055 0.000
-1.838 0.000 5.762
ATOMIC_POSITIONS crystal
Y 0.000 0.000 0.000
Er 0.308 0.692 0.500
Er 0.500 0.500 0.000
Er 0.692 0.308 0.500
Mg 0.000 0.000 0.500
Mg 0.064 0.550 0.809
Mg 0.263 0.263 0.480
Mg 0.450 0.936 0.191
Mg 0.550 0.064 0.809
Mg 0.737 0.737 0.520
Mg 0.936 0.450 0.191
! - Space group: C2/m, No. 12


Energy relative to the elements readings, ordered: -0.08; -0.02; 0.05; 0.08; -0.06; 0.00; 0.15; 0.20 eV/atom
E readings, ordered: -20.9; -32.1; -32.6; -67.5; -40.2; -25.2; -108.1; -29.2 eV/cell